No. 1
# PBE LaTb3DyY, relaxed
data_LaTb3DyY
_cell_length_a 8.0351
_cell_length_b 5.0975
_cell_length_c 10.1406
_cell_angle_alpha 90.00
_cell_angle_beta 108.46
_cell_angle_gamma 90.00
_space_group_name_H-M_alt 'P 1 21/m 1'
_space_group_IT_number 11
_space_group_name_Hall '-P 2yb'
loop_
_atom_site_label
_atom_site_type_symbol
_atom_site_fract_x
_atom_site_fract_y
_atom_site_fract_z
La1 La 0.1645 0.2500 0.2918
Tb1 Tb 0.1685 0.2500 0.7918
Tb2 Tb 0.1677 0.7500 0.0410
Tb3 Tb 0.1688 0.7500 0.5432
Dy1 Dy 0.4998 0.2500 0.6261
Y1 Y 0.4969 0.7500 0.8753
# final energy	-59.44	eV per cell
# DOS(E_F)	1.48	states/eV per atom

No. 2
# PBE La4Tb2Dy2Y, relaxed
data_La4Tb2Dy2Y
_cell_length_a 15.4683
_cell_length_b 5.1710
_cell_length_c 8.1059
_cell_angle_alpha 90.00
_cell_angle_beta 108.48
_cell_angle_gamma 90.00
_space_group_name_H-M_alt 'C 1 2/m 1'
_space_group_IT_number 12
_space_group_name_Hall '-C 2y'
loop_
_atom_site_label
_atom_site_type_symbol
_atom_site_fract_x
_atom_site_fract_y
_atom_site_fract_z
La1 La 0.0541 0.0000 0.3313
La2 La 0.2239 0.5000 0.3323
Tb1 Tb 0.1120 0.5000 0.6707
Dy1 Dy 0.1678 0.0000 0.0000
Y1 Y 0.0000 0.5000 0.0000
# final energy	-88.75	eV per cell
# DOS(E_F)	1.77	states/eV per atom

No. 3
# PBE La3TbDyY, relaxed
data_La3TbDyY
_cell_length_a 10.9407
_cell_length_b 3.6555
_cell_length_c 10.9706
_cell_angle_alpha 90.00
_cell_angle_beta 109.54
_cell_angle_gamma 90.00
_space_group_name_H-M_alt 'P 1 21/m 1'
_space_group_IT_number 11
_space_group_name_Hall '-P 2yb'
loop_
_atom_site_label
_atom_site_type_symbol
_atom_site_fract_x
_atom_site_fract_y
_atom_site_fract_z
La1 La 0.0417 0.2500 0.3709
La2 La 0.2933 0.7500 0.6247
La3 La 0.4547 0.7500 0.1244
Tb1 Tb 0.2055 0.2500 0.8794
Dy1 Dy 0.1229 0.7500 0.1210
Y1 Y 0.3735 0.2500 0.3725
# final energy	-60.68	eV per cell
# DOS(E_F)	1.65	states/eV per atom